No. 1
PBE-GGA GdGa, optimized geometry; E = -8.292 eV for the cell shown; size of the total moment = 0.004 μB per formula unit
1.0
3.546 0.000 0.000
-1.773 3.071 0.000
0.000 0.000 4.622
Gd Ga
1 1
direct
0.000 0.000 0.000
0.333 0.667 0.500

---

No. 2
PBE-GGA TmNbN2O, optimized geometry; E = -42.994 eV for the cell shown; size of the total moment = 0.001 μB per formula unit
1.0
4.063 0.000 0.000
0.000 4.063 0.000
0.000 0.000 3.909
Tm Nb N O
1 1 2 1
direct
0.000 0.000 0.000
0.500 0.500 0.500
0.000 0.500 0.500
0.500 0.000 0.500
0.500 0.500 0.000

---

No. 3
PBE-GGA Mg3TcP, optimized geometry; E = -17.443 eV for the cell shown; size of the total moment = 2.694 μB per formula unit
1.0
4.794 0.000 0.000
0.000 4.794 0.000
0.000 0.000 4.794
Mg Tc P
3 1 1
direct
0.000 0.000 0.500
0.000 0.500 0.000
0.500 0.000 0.000
0.500 0.500 0.500
0.000 0.000 0.000

---

No. 4
PBE-GGA HfGaBi, optimized geometry; E = -15.341 eV for the cell shown; size of the total moment = 0.004 μB per formula unit
1.0
0.000 3.488 3.488
3.488 0.000 3.488
3.488 3.488 0.000
Hf Ga Bi
1 1 1
direct
0.000 0.000 0.000
0.500 0.500 0.500
0.750 0.750 0.750

---

No. 5
PBE-GGA BeNiAsAu, optimized geometry; energy above the lowest structure with this stoichiometry = 18 meV per atom; size of the total moment = 0.001 μB per formula unit
1.0
0.000 3.027 3.027
3.027 0.000 3.027
3.027 3.027 0.000
Be Ni As Au
1 1 1 1
direct
0.000 0.000 0.000
0.750 0.750 0.750
0.500 0.500 0.500
0.250 0.250 0.250

---

No. 6
PBE-GGA LiTcBiAs, optimized geometry; energy above the lowest structure with this stoichiometry = 393 meV per atom; size of the total moment = 1.512 μB per formula unit
1.0
0.000 3.332 3.332
3.332 0.000 3.332
3.332 3.332 0.000
Li Tc Bi As
1 1 1 1
direct
0.000 0.000 0.000
0.250 0.250 0.250
0.750 0.750 0.750
0.500 0.500 0.500

---

No. 7
PBE-GGA SmB2Pd3, optimized geometry; E = -35.814 eV for the cell shown; size of the total moment = 0.307 μB per formula unit
1.0
5.545 0.000 0.000
-2.772 4.802 0.000
0.000 0.000 3.214
Sm B Pd
1 2 3
direct
0.000 0.000 0.000
0.333 0.667 0.000
0.667 0.333 0.000
0.000 0.500 0.500
0.500 0.000 0.500
0.500 0.500 0.500

---

No. 8
PBE-GGA ZrTlCoOs, optimized geometry; energy above the lowest structure with this stoichiometry = 305 meV per atom; size of the total moment = 2.427 μB per formula unit
1.0
0.000 3.258 3.258
3.258 0.000 3.258
3.258 3.258 0.000
Zr Tl Co Os
1 1 1 1
direct
0.000 0.000 0.000
0.250 0.250 0.250
0.500 0.500 0.500
0.750 0.750 0.750

---

No. 9
PBE-GGA HfAlIr2, optimized geometry; E = -32.741 eV for the cell shown; size of the total moment = 0.026 μB per formula unit
1.0
0.000 3.190 3.190
3.190 0.000 3.190
3.190 3.190 0.000
Hf Al Ir
1 1 2
direct
0.000 0.000 0.000
0.750 0.750 0.750
0.250 0.250 0.250
0.500 0.500 0.500

---

No. 10
PBE-GGA BaInHgAu, optimized geometry; energy above the lowest structure with this stoichiometry = 142 meV per atom
1.0
0.000 3.799 3.799
3.799 0.000 3.799
3.799 3.799 0.000
Ba In Hg Au
1 1 1 1
direct
0.000 0.000 0.000
0.250 0.250 0.250
0.750 0.750 0.750
0.500 0.500 0.500

---

No. 11
PBE-GGA BaDyHg6, optimized geometry; E = -10.933 eV for the cell shown; size of the total moment = 0.024 μB per formula unit
1.0
6.852 0.000 0.000
-3.426 5.934 0.000
0.000 0.000 5.161
Ba Dy Hg
1 1 6
direct
0.000 0.000 0.000
0.667 0.333 0.500
0.180 0.360 0.500
0.180 0.820 0.500
0.505 0.009 0.000
0.505 0.495 0.000
0.640 0.820 0.500
0.991 0.495 0.000

---

No. 12
PBE-GGA NdSmGa2I2, optimized geometry; E = -25.089 eV for the cell shown; size of the total moment = 0.002 μB per formula unit
1.0
4.282 0.000 0.000
-2.141 3.709 0.000
0.000 0.000 12.437
Nd Sm Ga I
1 1 2 2
direct
0.000 0.000 0.000
0.000 0.000 0.334
0.333 0.667 0.194
0.667 0.333 0.143
0.333 0.667 0.833
0.667 0.333 0.497

---

No. 13
PBE-GGA KLiWSe3, optimized geometry; E = -60.294 eV for the cell shown; size of the total moment = 1.914 μB per formula unit
1.0
1.971 -7.269 0.000
1.971 7.269 0.000
0.000 0.000 9.879
K Li W Se
2 2 2 6
direct
0.247 0.753 0.750
0.753 0.247 0.250
0.472 0.528 0.250
0.528 0.472 0.750
0.000 0.000 0.000
0.000 0.000 0.500
0.068 0.932 0.250
0.385 0.615 0.042
0.385 0.615 0.458
0.615 0.385 0.542
0.615 0.385 0.958
0.932 0.068 0.750

---

No. 14
PBE-GGA ErNi, optimized geometry; energy of formation from the pure elements = -0.25 eV/atom; size of the total moment = 0.006 μB per formula unit
1.0
0.000 2.737 2.737
2.737 0.000 2.737
2.737 2.737 0.000
Er Ni
1 1
direct
0.000 0.000 0.000
0.500 0.500 0.500

---

No. 15
PBE-GGA Y4Zr2Si3C3, optimized geometry; E = -188.127 eV for the cell shown; size of the total moment = 0.103 μB per formula unit
1.0
5.259 -3.031 0.000
5.259 3.031 0.000
-3.649 0.000 14.267
Y Zr Si C
8 4 6 6
direct
0.040 0.196 0.102
0.125 0.299 0.398
0.196 0.040 0.602
0.299 0.125 0.898
0.701 0.875 0.102
0.804 0.960 0.398
0.875 0.701 0.602
0.960 0.804 0.898
0.353 0.527 0.079
0.473 0.647 0.421
0.527 0.353 0.579
0.647 0.473 0.921
0.176 0.824 0.250
0.345 0.417 0.751
0.417 0.345 0.251
0.583 0.655 0.749
0.655 0.583 0.249
0.824 0.176 0.750
0.000 0.500 0.000
0.183 0.659 0.500
0.341 0.817 0.000
0.500 0.000 0.500
0.659 0.183 0.000
0.817 0.341 0.500

---

No. 16
PBE-GGA HfTcAg2, optimized geometry; energy of formation from the pure elements = 0.28 eV/atom; size of the total moment = 0.647 μB per formula unit
1.0
0.000 3.270 3.270
3.270 0.000 3.270
3.270 3.270 0.000
Hf Tc Ag
1 1 2
direct
0.000 0.000 0.000
0.750 0.750 0.750
0.250 0.250 0.250
0.500 0.500 0.500

---

No. 17
PBE-GGA LiTaAlCu, optimized geometry; energy above the lowest structure with this stoichiometry = 0 meV per atom; size of the total moment = 0.003 μB per formula unit
1.0
0.000 3.040 3.040
3.040 0.000 3.040
3.040 3.040 0.000
Li Ta Al Cu
1 1 1 1
direct
0.000 0.000 0.000
0.750 0.750 0.750
0.250 0.250 0.250
0.500 0.500 0.500

---

No. 18
PBE-GGA YTmPbC, optimized geometry; E = -51.906 eV for the cell shown; size of the total moment = 0.013 μB per formula unit
1.0
3.618 0.000 0.000
-1.809 3.133 0.000
0.000 0.000 15.969
Y Tm Pb C
2 2 2 2
direct
0.333 0.667 0.000
0.667 0.333 0.500
0.333 0.667 0.335
0.667 0.333 0.835
0.333 0.667 0.668
0.667 0.333 0.168
0.000 0.000 0.415
0.000 0.000 0.915

---

No. 19
PBE-GGA Tb2OsO4, optimized geometry; E = -107.621 eV for the cell shown; size of the total moment = 4.030 μB per formula unit
1.0
0.000 4.747 4.747
4.747 0.000 4.747
4.747 4.747 0.000
Tb Os O
4 2 8
direct
0.000 0.000 0.000
0.000 0.000 0.500
0.000 0.500 0.000
0.500 0.000 0.000
0.375 0.375 0.375
0.625 0.625 0.625
0.221 0.760 0.760
0.240 0.240 0.240
0.240 0.240 0.779
0.240 0.779 0.240
0.760 0.221 0.760
0.760 0.760 0.221
0.760 0.760 0.760
0.779 0.240 0.240

---

No. 20
PBE-GGA KLuTeO, optimized geometry; energy above the lowest structure with this stoichiometry = 0 meV per atom; size of the total moment = 0.003 μB per formula unit
1.0
6.521 0.000 0.000
0.002 7.231 0.000
1.235 0.029 8.786
K Lu Te O
4 4 4 4
direct
0.155 0.104 0.131
0.344 0.601 0.868
0.656 0.399 0.132
0.845 0.896 0.869
0.208 0.866 0.491
0.292 0.366 0.509
0.708 0.634 0.491
0.792 0.134 0.509
0.117 0.579 0.245
0.383 0.077 0.755
0.617 0.923 0.245
0.883 0.421 0.755
0.114 0.143 0.429
0.386 0.642 0.571
0.614 0.358 0.429
0.886 0.857 0.571

---

No. 21
PBE-GGA BaY2Ga2Ni4, optimized geometry; E = -47.055 eV for the cell shown; size of the total moment = 0.001 μB per formula unit
1.0
5.325 -2.069 0.000
5.325 2.069 0.000
-1.346 0.000 7.996
Ba Y Ga Ni
1 2 2 4
direct
0.000 0.000 0.000
0.376 0.376 0.612
0.624 0.624 0.388
0.317 0.317 0.229
0.683 0.683 0.771
0.091 0.091 0.622
0.258 0.258 0.909
0.742 0.742 0.091
0.909 0.909 0.378

---

No. 22
PBE-GGA Nd2GdMg3Zn2Cd, optimized geometry; E = -24.648 eV for the cell shown; size of the total moment = 0.007 μB per formula unit
1.0
4.703 0.000 0.000
0.000 6.388 3.678
0.000 -6.388 3.678
Nd Gd Mg Zn Cd
2 1 3 2 1
direct
0.000 0.213 0.787
0.000 0.787 0.213
0.000 0.353 0.353
0.500 0.029 0.029
0.500 0.539 0.782
0.500 0.782 0.539
0.500 0.121 0.450
0.500 0.450 0.121
0.000 0.779 0.779

---

No. 23
PBE-GGA Pr3Cd3Pd2Pt, optimized geometry; energy of formation from the pure elements = -0.71 eV/atom; size of the total moment = 0.000 μB per formula unit
1.0
7.720 0.000 0.000
-3.860 6.686 0.000
0.000 0.000 4.123
Pr Cd Pd Pt
3 3 2 1
direct
0.000 0.598 0.000
0.402 0.402 0.000
0.598 0.000 0.000
0.000 0.253 0.500
0.253 0.000 0.500
0.747 0.747 0.500
0.333 0.667 0.500
0.667 0.333 0.500
0.000 0.000 0.000

---

No. 24
PBE-GGA ScTlCd2, optimized geometry; energy above the lowest structure with this stoichiometry = 0 meV per atom; size of the total moment = 0.006 μB per formula unit
1.0
4.428 0.000 0.000
0.000 4.428 0.000
0.000 0.000 4.593
Sc Tl Cd
1 1 2
direct
0.000 0.000 0.000
0.500 0.500 0.000
0.000 0.500 0.500
0.500 0.000 0.500

---

No. 25
PBE-GGA CsBeNiSb, optimized geometry; energy above the lowest structure with this stoichiometry = 54 meV per atom; size of the total moment = 0.412 μB per formula unit
1.0
0.000 3.659 3.659
3.659 0.000 3.659
3.659 3.659 0.000
Cs Be Ni Sb
1 1 1 1
direct
0.000 0.000 0.000
0.500 0.500 0.500
0.750 0.750 0.750
0.250 0.250 0.250

---

No. 26
PBE-GGA LuFeReSi, optimized geometry; energy above the lowest structure with this stoichiometry = 233 meV per atom; size of the total moment = 3.425 μB per formula unit
1.0
0.000 3.175 3.175
3.175 0.000 3.175
3.175 3.175 0.000
Lu Fe Re Si
1 1 1 1
direct
0.000 0.000 0.000
0.500 0.500 0.500
0.750 0.750 0.750
0.250 0.250 0.250